Re2HgMo | GGA-PBE | optimized geometry

Lattice parameters (Å, degrees): 7.4274 7.4274 5.4106 90.00 90.00 90.00
Last column: nearest neighbours and their distance in Å.
Space group I-42d (No. 122)
One atom of each set of equivalent atoms:
Re: 0.2010 0.7500 0.1250 (multiplicity 8)  2 Mo 2.48
Hg: 0.0000 0.0000 0.5000 (multiplicity 4)  2 Mo 2.71, 4 Re 2.97
Mo: 0.0000 0.0000 0.0000 (multiplicity 4)  4 Re 2.48, 2 Hg 2.71

## Properties
VASP energy in eV per atom: -7.8658
Total moment in μB per formula unit: 0.00